Entry 1:
This record from Alexandria describes crystalline Ac4Pm6Ho at its relaxed geometry. The functional is PBE-GGA.

Output
magnetic moment: 0.000 Bohr magnetons per cell
E_tot: -4.249 eV/atom

Cell lengths 7.1568, 7.1568, 16.7381 Å; angles 90.00, 90.00, 90.00 degrees
With the nearest neighbours (Å) after each atom.
Space group I-42m (No. 121)
Asymmetric unit:
Ac  0.1947  0.1947  0.1796 x8  1 Ho 3.59, 5 Pm 3.67-3.97, 1 Ac 3.94
Pm  0.0000  0.5000  0.0000 x4  4 Pm 3.16
Pm  0.1697  0.1697  0.3981 x8  3 Pm 3.16-3.43
Ho  0.0000  0.0000  0.0000 x2  8 Pm 3.58-3.75, 4 Ac 3.59

=====

Entry 2:
This record from Alexandria describes crystalline Pr3Cu4Ge2 at its relaxed geometry. The functional is PBE-GGA.

Output
magnetic moment: 0.000 Bohr magnetons per cell
E_tot: -4.904 eV/atom

Cell lengths 10.8831, 4.2940, 8.5362 Å; angles 90.00, 107.16, 90.00 degrees
With the nearest neighbours (Å) after each atom.
Space group C2/m (No. 12)
Asymmetric unit:
Pr  0.0000  0.0000  0.0000 x2  8 Cu 3.14-3.23, 4 Ge 3.16
Pr  0.1653  0.5000  0.6656 x4  8 Cu 3.14-3.20, 4 Ge 3.17-3.19
Cu  0.0564  0.0000  0.3906 x4  2 Ge 2.49, 1 Cu 2.52
Cu  0.2192  0.5000  0.0550 x4  2 Cu 2.51, 1 Ge 2.53
Ge  0.1095  0.5000  0.2780 x4  3 Cu 2.49-2.53

=====

Entry 3:
This record from Alexandria describes crystalline YAl2In2 at its relaxed geometry. The functional is PBE-GGA.

Output
magnetic moment: 0.000 Bohr magnetons per cell
E_tot: -3.937 eV/atom

Cell lengths 8.2161, 8.2161, 3.4383 Å; angles 90.00, 90.00, 90.00 degrees
With the nearest neighbours (Å) after each atom.
Space group P4/mbm (No. 127)
Asymmetric unit:
Y  0.0000  0.0000  0.0000 x2  4 In 3.21, 2 Y 3.44, 8 Al 3.52
Al  0.1652  0.3348  0.5000 x4  6 In 2.91-3.00
In  0.1323  0.6323  0.0000 x4  6 Al 2.91-3.00, 1 In 3.08, 2 Y 3.21

=====

Entry 4:
This record from Alexandria describes crystalline BaNiSe at its relaxed geometry. The functional is PBE-GGA.

Output
magnetic moment: 0.000 Bohr magnetons per cell
E_tot: -4.687 eV/atom

Cell lengths 5.1029, 9.1372, 6.9814 Å; angles 90.00, 90.00, 90.00 degrees
With the nearest neighbours (Å) after each atom.
Space group Imm2 (No. 44)
Asymmetric unit:
Ba  0.0000  0.2499  0.0000 x4  4 Ni 3.14-3.15, 4 Se 3.43
Ni  0.2499  0.0000  0.2508 x4  2 Se 2.33, 2 Ni 2.55
Se  0.0000  0.0000  0.5296 x2  2 Ni 2.33
Se  0.0000  0.5000  0.4720 x2  2 Ni 2.33

=====

Entry 5:
This record from Alexandria describes crystalline Ca2Pr3YSe6 at its relaxed geometry. The functional is PBE-GGA.

Output
magnetic moment: 0.000 Bohr magnetons per cell
E_tot: -5.684 eV/atom

Cell lengths 7.2287, 12.5377, 7.4019 Å; angles 90.00, 109.07, 90.00 degrees
With the nearest neighbours (Å) after each atom.
Space group C2/m (No. 12)
Asymmetric unit:
Ca  0.0000  0.1664  0.0000 x4  6 Se 2.93-2.95
Pr  0.0000  0.0000  0.5000 x2  6 Se 3.03
Pr  0.0000  0.3291  0.5000 x4  6 Se 3.02-3.04
Y  0.0000  0.5000  0.0000 x2  6 Se 2.90-2.92
Se  0.2436  0.3348  0.2351 x8  1 Y 2.90, 2 Ca 2.93, 3 Pr 3.02-3.03
Se  0.2502  0.0000  0.2412 x4  1 Y 2.92, 2 Ca 2.95, 3 Pr 3.03-3.04

=====

Entry 6:
This record from Alexandria describes crystalline Na2Cd2Hg at its relaxed geometry. The functional is PBE-GGA.

Output
magnetic moment: 0.000 Bohr magnetons per cell
E_tot: -1.026 eV/atom

Cell lengths 4.0854, 4.0854, 17.3623 Å; angles 90.00, 90.00, 90.00 degrees
With the nearest neighbours (Å) after each atom.
Space group I4/mmm (No. 139)
Asymmetric unit:
Na  0.0000  0.0000  0.0966 x4  4 Hg 3.34, 1 Na 3.35, 4 Cd 3.36
Cd  0.0000  0.5000  0.2500 x4  4 Cd 2.89
Hg  0.0000  0.0000  0.5000 x2  8 Na 3.34